Record 1
Below is a relaxed Be6Rh crystal, with properties calculated at the PBE-GGA level.

Cell: 4.772 4.772 4.772 Å, 90.00 90.00 90.00°
Fractional positions:
Be 0.000 0.000 0.304
Be 0.000 0.000 0.696
Be 0.000 0.304 0.000
Be 0.000 0.696 0.000
Be 0.304 0.000 0.000
Be 0.696 0.000 0.000
Rh 0.500 0.500 0.500

Computed properties:
Its crystal system is cubic. The value obtained for the energy above the most stable polymorph in this dataset is 13.28 eV/f.u. The total energy is -2.5795 eV/atom. The calculation puts the formation energy at 1.66 eV/atom.



Record 2
Below is a relaxed LiSc crystal, with properties calculated at the PBE-GGA level.

Cell: 10.550 10.550 3.029 Å, 90.00 90.00 120.00°
Fractional positions:
Li 0.058 0.283 0.250
Li 0.225 0.942 0.250
Li 0.283 0.225 0.750
Li 0.717 0.775 0.250
Li 0.775 0.058 0.750
Li 0.942 0.717 0.750
Sc 0.142 0.608 0.250
Sc 0.392 0.534 0.250
Sc 0.466 0.858 0.250
Sc 0.534 0.142 0.750
Sc 0.608 0.466 0.750
Sc 0.858 0.392 0.750

Computed properties:
Its crystal system is hexagonal. The value obtained for the energy above the most stable polymorph in this dataset is 0.39 eV/f.u. The total energy is -3.8361 eV/atom. The calculation puts the formation energy at 0.29 eV/atom.



Record 3
Below is a relaxed ErSb2S6 crystal, with properties calculated at the PBE-GGA level.

Cell: 6.093 6.093 12.137 Å, 90.00 90.00 90.00°
Fractional positions:
Er 0.000 0.000 0.000
Er 0.500 0.500 0.500
Sb 0.000 0.000 0.335
Sb 0.000 0.000 0.665
Sb 0.500 0.500 0.165
Sb 0.500 0.500 0.835
S 0.187 0.187 0.500
S 0.196 0.196 0.171
S 0.196 0.196 0.829
S 0.304 0.696 0.329
S 0.304 0.696 0.671
S 0.313 0.687 0.000
S 0.687 0.313 0.000
S 0.696 0.304 0.329
S 0.696 0.304 0.671
S 0.804 0.804 0.171
S 0.804 0.804 0.829
S 0.813 0.813 0.500

Computed properties:
Its crystal system is tetragonal. For the formation energy (no corrections), the calculation gives -4.160 eV/f.u. The total energy is -4.6369 eV/atom.



Question: Number 2 is which compound?
Answer: LiSc